Record 1
Li3Er3PaS8 after structural relaxation, computed with PBE.

a b c (Å): 7.8371 7.8364 7.6488
angles (deg): 120.83 90.00 120.00
Last column: nearest neighbours and their distance in Å.
Atoms (fractional coordinates):
Li 0.5000 0.5000 0.0000  6 S 2.75
Li 0.0000 0.0000 0.0000  6 S 2.74-2.75
Li 0.0000 0.5000 0.0000  6 S 2.75
S 0.7531 0.5061 0.2554  1 Pa 2.70, 2 Er 2.73, 2 Li 2.75
S 0.7530 0.0021 0.2554  1 Pa 2.70, 2 Er 2.73, 2 Li 2.75
S 0.2470 0.9979 0.7446  1 Pa 2.70, 2 Er 2.73, 2 Li 2.75
S 0.2507 0.5015 0.2524  3 Er 2.73, 3 Li 2.74-2.75
S 0.2469 0.4939 0.7446  1 Pa 2.70, 2 Er 2.73, 2 Li 2.75
S 0.7493 0.4985 0.7476  3 Er 2.73, 3 Li 2.74-2.75
S 0.2491 0.0021 0.2554  1 Pa 2.70, 2 Er 2.73, 2 Li 2.75
S 0.7509 0.9979 0.7446  1 Pa 2.70, 2 Er 2.73, 2 Li 2.75
Er 0.5000 0.5000 0.5000  6 S 2.73
Er 0.0000 0.5000 0.5000  6 S 2.73
Er 0.5000 0.0000 0.5000  6 S 2.73
Pa 0.0000 0.0000 0.5000  6 S 2.70

## Properties
The value obtained for the volume is 21.9 A^3/atom. The density is 5.12 g/cm3. The uncorrected formation energy is -1.78 eV per atom.

Record 2
Zn2GeRu2 after structural relaxation, computed with PBE.

a b c (Å): 6.2956 6.2956 3.9019
angles (deg): 90.00 90.00 90.00
Last column: nearest neighbours and their distance in Å.
Atoms (fractional coordinates):
Ru 0.6473 0.1473 0.0000  2 Ge 2.41, 1 Ru 2.62, 2 Zn 2.64
Ru 0.3527 0.8527 0.0000  2 Ge 2.41, 1 Ru 2.62, 2 Zn 2.64
Ru 0.8527 0.6473 0.0000  2 Ge 2.41, 1 Ru 2.62, 2 Zn 2.64
Ru 0.1473 0.3527 0.0000  2 Ge 2.41, 1 Ru 2.62, 2 Zn 2.64
Zn 0.1535 0.6535 0.5000  6 Ru 2.64-2.72, 1 Zn 2.73
Zn 0.8465 0.3465 0.5000  6 Ru 2.64-2.72, 1 Zn 2.73
Zn 0.6535 0.8465 0.5000  6 Ru 2.64-2.72, 1 Zn 2.73
Zn 0.3465 0.1535 0.5000  6 Ru 2.64-2.72, 1 Zn 2.73
Ge 0.0000 0.0000 0.0000  4 Ru 2.41
Ge 0.5000 0.5000 0.0000  4 Ru 2.41

## Properties
The value obtained for the volume is 15.5 A^3/atom. The density is 8.71 g/cm3. The calculation puts the energy of formation at -10.0 kJ/mol of atoms.

Record 3
Tb8Tl2Co3 after structural relaxation, computed with PBE.

a b c (Å): 6.6341 7.2985 8.6981
angles (deg): 114.81 102.14 90.00
Last column: nearest neighbours and their distance in Å.
Atoms (fractional coordinates):
Tl 0.3457 0.2576 0.5152  6 Tb 3.18-3.33
Tl 0.6543 0.7424 0.4848  6 Tb 3.18-3.33
Tb 0.3736 0.3400 0.1887  2 Co 2.59
Tb 0.3736 0.8487 0.1887  2 Co 2.59
Tb 0.9037 0.5926 0.1851  2 Co 2.74
Tb 0.6264 0.6600 0.8113  2 Co 2.59
Tb 0.8766 0.1234 0.2468  3 Co 2.74-2.79
Tb 0.0963 0.4074 0.8149  2 Co 2.74
Tb 0.6264 0.1513 0.8113  2 Co 2.59
Tb 0.1234 0.8766 0.7532  3 Co 2.74-2.79
Co 0.5000 0.0000 0.0000  6 Tb 2.59-2.79
Co 0.0000 0.2080 0.0000  6 Tb 2.59-2.74
Co 0.0000 0.7920 0.0000  6 Tb 2.59-2.74

## Properties
The value obtained for the volume is 28.6 A^3/atom. The density is 8.29 g/cm3. The calculation puts the energy of formation at -8.5 kJ/mol of atoms.